No. 1
This record from Alexandria describes a relaxed structure of Dy3Cu7Si4. The functional is PBE-GGA.

Output
* formation energy from raw total energies: -0.48 eV/atom

abc: 7.7919 7.7919 8.9894
angles: 125.16 125.16 30.33
Closest atoms and distances in Å follow each position.
Positions (direct):
Dy: 0.0000 0.0000 0.0000  6 Si 2.93-3.03, 6 Cu 2.96-3.21
Dy: 0.3062 0.3062 0.3075  4 Si 2.92-2.96, 10 Cu 2.93-3.18
Dy: 0.6938 0.6938 0.6925  4 Si 2.92-2.96, 10 Cu 2.93-3.18
Cu: 0.0000 0.0000 0.5000  2 Si 2.43
Cu: 0.1447 0.1447 0.4102  3 Si 2.40-2.55, 2 Cu 2.68
Cu: 0.3268 0.3268 0.9756  4 Si 2.45-2.56, 1 Cu 2.49
Cu: 0.4973 0.4973 0.7034  3 Si 2.43-2.53, 3 Cu 2.49-2.68
Cu: 0.5027 0.5027 0.2966  3 Si 2.43-2.53, 3 Cu 2.49-2.68
Cu: 0.6732 0.6732 0.0244  4 Si 2.45-2.56, 1 Cu 2.49
Cu: 0.8553 0.8553 0.5898  3 Si 2.40-2.55, 2 Cu 2.68
Si: 0.1206 0.1206 0.8373  6 Cu 2.43-2.56
Si: 0.3398 0.3398 0.7138  5 Cu 2.40-2.55
Si: 0.6602 0.6602 0.2862  5 Cu 2.40-2.55
Si: 0.8794 0.8794 0.1627  6 Cu 2.43-2.56

No. 2
This record from Alexandria describes a relaxed structure of KCuPS2. The functional is PBE-GGA.

Output
* formation energy from raw total energies: 1.69 eV/atom

abc: 5.7003 5.7003 5.9866
angles: 90.00 90.00 90.00
Closest atoms and distances in Å follow each position.
Positions (direct):
K: 0.0000 0.0000 0.0000  4 S 2.85, 2 P 2.99
Cu: 0.5000 0.5000 0.5000  4 P 4.03, 8 S 4.13
P: 0.0000 0.0000 0.5000  2 K 2.99
S: 0.0000 0.5000 0.0000  2 K 2.85
S: 0.5000 0.0000 0.0000  2 K 2.85

No. 3
This record from Alexandria describes a relaxed structure of TmWN4. The functional is PBE-GGA.

Output
* formation energy from raw total energies: 0.00 eV/atom

abc: 4.7340 4.7340 7.2170
angles: 90.00 90.00 83.51
Closest atoms and distances in Å follow each position.
Positions (direct):
Tm: 0.0823 0.9177 0.7500  8 N 2.33-2.48
Tm: 0.9177 0.0823 0.2500  8 N 2.33-2.48
W: 0.4184 0.5816 0.2500  4 N 1.88
W: 0.5816 0.4184 0.7500  4 N 1.88
N: 0.1865 0.4012 0.7500  1 W 1.88
N: 0.2337 0.7663 0.0449  1 W 1.88
N: 0.2337 0.7663 0.4551  1 W 1.88
N: 0.4012 0.1865 0.2500  1 W 1.88
N: 0.5988 0.8135 0.7500  1 W 1.88
N: 0.7663 0.2337 0.5449  1 W 1.88
N: 0.7663 0.2337 0.9551  1 W 1.88
N: 0.8135 0.5988 0.2500  1 W 1.88

No. 4
This record from Alexandria describes a relaxed structure of Nd2Mg. The functional is PBE-GGA.

Output
* formation enthalpy at 0 K: -56 meV per atom

abc: 7.2223 7.2223 7.2223
angles: 149.82 149.82 43.20
Closest atoms and distances in Å follow each position.
Positions (direct):
Nd: 0.1574 0.1574 0.0000  4 Mg 3.40, 8 Nd 3.64-3.76
Nd: 0.8426 0.8426 0.0000  4 Mg 3.40, 8 Nd 3.64-3.76
Mg: 0.5000 0.5000 0.0000  8 Nd 3.40, 4 Mg 3.76

No. 5
This record from Alexandria describes a relaxed structure of Pr3YC8. The functional is PBE-GGA.

Output
* formation enthalpy at 0 K: 162 meV per atom

abc: 6.4655 6.4655 6.4655
angles: 110.88 110.88 106.68
Closest atoms and distances in Å follow each position.
Positions (direct):
Pr: 0.0000 0.0000 0.0000  8 C 2.63-2.74
Pr: 0.2500 0.7500 0.5000  8 C 2.77
Pr: 0.7500 0.2500 0.5000  8 C 2.77
Y: 0.5000 0.5000 0.0000  4 C 2.37
C: 0.1083 0.6373 0.0000  1 C 1.29
C: 0.1211 0.4417 0.0000  1 C 1.29
C: 0.3627 0.3627 0.4710  1 C 1.29
C: 0.4417 0.1211 0.0000  1 C 1.29
C: 0.5583 0.5583 0.6794  1 C 1.29
C: 0.6373 0.1083 0.0000  1 C 1.29
C: 0.8789 0.8789 0.3206  1 C 1.29
C: 0.8917 0.8917 0.5290  1 C 1.29

No. 6
This record from Alexandria describes a relaxed structure of NaAg2Au3. The functional is PBE-GGA.

Output
* formation enthalpy at 0 K: -154 meV per atom

abc: 7.3050 7.3050 7.3050
angles: 100.37 96.42 135.09
Closest atoms and distances in Å follow each position.
Positions (direct):
Na: 0.4995 0.2495 0.2500  6 Ag 3.22-3.25
Na: 0.5005 0.7505 0.7500  6 Ag 3.22-3.25
Ag: 0.1652 0.7495 0.4157  6 Au 2.84
Ag: 0.1663 0.2505 0.9157  6 Au 2.84
Ag: 0.8337 0.7495 0.0843  6 Au 2.84
Ag: 0.8348 0.2505 0.5843  6 Au 2.84
Au: 0.0000 0.0000 0.5000  4 Au 2.81, 4 Ag 2.84
Au: 0.0000 0.2498 0.2498  4 Au 2.79-2.81, 4 Ag 2.84
Au: 0.0000 0.5000 0.0000  4 Au 2.81, 4 Ag 2.84
Au: 0.0000 0.7502 0.7502  4 Au 2.79-2.81, 4 Ag 2.84
Au: 0.5000 0.2498 0.7498  4 Au 2.79-2.81, 4 Ag 2.84
Au: 0.5000 0.7502 0.2502  4 Au 2.79-2.81, 4 Ag 2.84

No. 7
This record from Alexandria describes a relaxed structure of PuCdNiPd. The functional is PBE-GGA.

Output
* formation enthalpy at 0 K: -170 meV per atom

abc: 4.7503 4.7503 4.7503
angles: 60.00 60.00 60.00
Closest atoms and distances in Å follow each position.
Positions (direct):
Pu: 0.0000 0.0000 0.0000  4 Ni 2.91, 4 Pd 2.91
Cd: 0.5000 0.5000 0.5000  4 Ni 2.91, 4 Pd 2.91
Ni: 0.7500 0.7500 0.7500  4 Cd 2.91, 4 Pu 2.91
Pd: 0.2500 0.2500 0.2500  4 Cd 2.91, 4 Pu 2.91

The calculation returns the following VASP energy values, one per record and in order: -70.93; -10.41; -50.72; -11.30; -92.65; -17.78; -26.90 eV per formula unit.